Entry 1:
Compound: AgSbSN2
Source: Alexandria
Functional: PBE-GGA
Structure: optimized geometry

## Properties
The space group is P4/mmm, No. 123. Its raw total energy is -4.307 eV/atom. The calculation puts the formation energy without anion corrections at 1.244 eV/atom.

POSCAR file:
```
AgSbSN2
1.0
4.0232 0.0000 0.0000
0.0000 4.0232 0.0000
0.0000 0.0000 5.4059
N Sb S Ag
2 1 1 1
direct
0.0000 0.5000 0.0000
0.5000 0.0000 0.0000
0.0000 0.0000 0.0000
0.0000 0.0000 0.5000
0.5000 0.5000 0.5000
```

Entry 2:
Compound: Zn2AgH
Source: Alexandria
Functional: PBE-GGA
Structure: optimized geometry

## Properties
The space group is I-42d, No. 122. Its raw total energy is -1.935 eV/atom.

POSCAR file:
```
Zn2AgH
1.0
-1.6196 4.3924 -3.5899
-2.1332 -3.9309 -3.8471
-4.7289 0.3620 -2.2710
Zn Ag H
4 2 2
direct
0.2274 0.6250 0.2500
0.5226 0.1250 0.2500
0.3750 0.4774 0.7500
0.8750 0.7726 0.7500
0.7500 0.2500 0.5000
0.0000 0.0000 0.0000
0.5000 0.5000 0.0000
0.2500 0.7500 0.5000
```

What is the formula in the first record? AgSbSN2

What is the raw total energy in the second record? -1.935 eV/atom

Which of these has the lowest raw total energy? AgSbSN2